# 1
{"formula": "KReBr6", "functional": "PBE", "state": "relaxed", "e_above_lowest_polymorph_mev_per_atom": 23, "formation_energy_uncorrected_ev_per_atom": -0.611, "dft_energy_ev_per_cell": -28.47, "lattice_angstrom": [[7.0824, 0.0036, -0.0129], [3.5286, 6.1768, -0.0032], [3.5073, 2.0444, 6.4291]], "species": ["K", "Re", "Br", "Br", "Br", "Br", "Br", "Br"], "frac_coords": [[0.5000, 0.5000, 0.5000], [0.0000, 0.0000, 0.0000], [0.0013, 0.3905, 0.7784], [0.8260, 0.0014, 0.7783], [0.6097, 0.1705, 0.2224], [0.1740, 0.9986, 0.2217], [0.9987, 0.6095, 0.2216], [0.3903, 0.8295, 0.7776]]}

***

# 2
{"formula": "PmPr6Nd5", "functional": "PBE", "state": "relaxed", "e_form_ev_per_fu": 0.1, "dft_energy_ev_per_cell": -57.13, "lattice_angstrom": [[-10.9106, 1.2694, 5.4163], [0.4169, -4.5801, 4.4624], [2.3980, 1.3706, 5.7838]], "species": ["Pm", "Pr", "Pr", "Pr", "Pr", "Pr", "Pr", "Nd", "Nd", "Nd", "Nd", "Nd"], "frac_coords": [[0.0000, 0.0000, 0.0000], [0.7503, 0.0833, 0.3331], [0.2497, 0.5836, 0.3331], [0.2496, 0.2498, 0.0000], [0.7504, 0.7502, 0.0000], [0.7503, 0.4164, 0.6669], [0.2497, 0.9167, 0.6669], [0.5000, 0.1666, 0.6669], [0.0000, 0.3332, 0.3335], [0.5000, 0.5000, 0.0000], [0.0000, 0.6668, 0.6665], [0.5000, 0.8334, 0.3331]]}

***

# 3
{"formula": "PaPd5Pt4", "functional": "PBE", "state": "relaxed", "e_above_lowest_polymorph_mev_per_atom": 0, "e_form_ev_per_fu": -3.1, "dft_energy_ev_per_cell": -125.42, "lattice_angstrom": [[-1.4121, 3.0156, -3.2430], [-5.5296, -5.3188, -2.5381], [-6.2577, 3.6055, 6.0776]], "species": ["Pa", "Pa", "Pd", "Pd", "Pd", "Pd", "Pd", "Pd", "Pd", "Pd", "Pd", "Pd", "Pt", "Pt", "Pt", "Pt", "Pt", "Pt", "Pt", "Pt"], "frac_coords": [[0.8328, 0.0000, 0.0000], [0.1672, 0.5000, 0.5000], [0.2471, 0.8321, 0.7440], [0.2471, 0.1679, 0.7440], [0.8627, 0.5000, 0.0000], [0.2471, 0.8321, 0.2560], [0.2471, 0.1679, 0.2560], [0.7529, 0.6679, 0.2440], [0.7529, 0.3321, 0.2440], [0.1373, 0.0000, 0.5000], [0.7529, 0.3321, 0.7560], [0.7529, 0.6679, 0.7560], [0.7412, 0.0000, 0.7144], [0.4297, 0.7500, 0.0000], [0.4297, 0.2500, 0.0000], [0.7412, 0.0000, 0.2856], [0.2588, 0.5000, 0.2144], [0.5703, 0.7500, 0.5000], [0.5703, 0.2500, 0.5000], [0.2588, 0.5000, 0.7856]]}

***

What did the second record say?
{"formula": "PmPr6Nd5", "functional": "PBE", "state": "relaxed", "e_form_ev_per_fu": 0.1, "dft_energy_ev_per_cell": -57.13, "lattice_angstrom": [[-10.9106, 1.2694, 5.4163], [0.4169, -4.5801, 4.4624], [2.3980, 1.3706, 5.7838]], "species": ["Pm", "Pr", "Pr", "Pr", "Pr", "Pr", "Pr", "Nd", "Nd", "Nd", "Nd", "Nd"], "frac_coords": [[0.0000, 0.0000, 0.0000], [0.7503, 0.0833, 0.3331], [0.2497, 0.5836, 0.3331], [0.2496, 0.2498, 0.0000], [0.7504, 0.7502, 0.0000], [0.7503, 0.4164, 0.6669], [0.2497, 0.9167, 0.6669], [0.5000, 0.1666, 0.6669], [0.0000, 0.3332, 0.3335], [0.5000, 0.5000, 0.0000], [0.0000, 0.6668, 0.6665], [0.5000, 0.8334, 0.3331]]}